Density functional theory data (PBE with a Hubbard U) for crystalline Cr2GaPbO6 at its relaxed geometry.

Values from the calculation:
Energy: -67.37 eV/f.u.
Space-group type: No. 146

a b c (Å): 5.5744 5.5744 5.5744
angles (deg): 57.03 57.03 57.03
Closest atoms and distances in Å follow each position.
Fractional coordinates of all 10 atoms:
Cr 0.0000 0.0000 0.0000  6 O 1.99-2.07
Cr 0.4919 0.4919 0.4919  6 O 2.03-2.07
Ga 0.7004 0.7004 0.7004  6 O 2.01-2.10
Pb 0.2238 0.2238 0.2238  3 O 2.27
O 0.1007 0.3963 0.7611  1 Ga 2.01, 2 Cr 2.03-2.07
O 0.2861 0.8344 0.6623  2 Cr 1.99-2.07, 1 Ga 2.10
O 0.3963 0.7611 0.1007  1 Ga 2.01, 2 Cr 2.03-2.07
O 0.6623 0.2861 0.8344  2 Cr 1.99-2.07, 1 Ga 2.10
O 0.7611 0.1007 0.3963  1 Ga 2.01, 2 Cr 2.03-2.07
O 0.8344 0.6623 0.2861  2 Cr 1.99-2.07, 1 Ga 2.10